No. 1
# PBE-GGA Ca3Ge2Pd7, relaxed
data_Ca3Ge2Pd7
_cell_length_a 4.1454
_cell_length_b 28.5276
_cell_length_c 4.1049
_cell_angle_alpha 90.00
_cell_angle_beta 90.00
_cell_angle_gamma 90.00
_space_group_name_H-M_alt 'C m m m'
_space_group_IT_number 65
_space_group_name_Hall '-C 2 2'
loop_
_atom_site_label
_atom_site_type_symbol
_atom_site_fract_x
_atom_site_fract_y
_atom_site_fract_z
Ca1 Ca 0.0000 0.0000 0.0000
Ca2 Ca 0.0000 0.2035 0.0000
Ge1 Ge 0.0000 0.4156 0.5000
Pd1 Pd 0.0000 0.1315 0.5000
Pd2 Pd 0.0000 0.2898 0.5000
Pd3 Pd 0.0000 0.3683 0.0000
Pd4 Pd 0.0000 0.5000 0.5000
# E_form = -0.57 eV per atom
# Crystal system = orthorhombic

No. 2
# PBE-GGA CaLa2Pm, relaxed
data_CaLa2Pm
_cell_length_a 3.7167
_cell_length_b 3.7167
_cell_length_c 10.8663
_cell_angle_alpha 90.00
_cell_angle_beta 90.00
_cell_angle_gamma 90.00
_space_group_name_H-M_alt 'P 4/m m m'
_space_group_IT_number 123
_space_group_name_Hall '-P 4 2'
loop_
_atom_site_label
_atom_site_type_symbol
_atom_site_fract_x
_atom_site_fract_y
_atom_site_fract_z
Ca1 Ca 0.0000 0.0000 0.0000
La1 La 0.5000 0.5000 0.2667
Pm1 Pm 0.0000 0.0000 0.5000
# E_form = 0.04 eV per atom
# Energy relative to the lowest polymorph listed for this composition = 9 meV per atom
# Crystal system = tetragonal

No. 3
# PBE-GGA NaCdGa2Ir, relaxed
data_NaCdGa2Ir
_cell_length_a 4.8048
_cell_length_b 4.8048
_cell_length_c 5.2964
_cell_angle_alpha 90.00
_cell_angle_beta 90.00
_cell_angle_gamma 90.00
_space_group_name_H-M_alt 'P 4/m m m'
_space_group_IT_number 123
_space_group_name_Hall '-P 4 2'
loop_
_atom_site_label
_atom_site_type_symbol
_atom_site_fract_x
_atom_site_fract_y
_atom_site_fract_z
Na1 Na 0.0000 0.0000 0.0000
Cd1 Cd 0.5000 0.5000 0.0000
Ga1 Ga 0.0000 0.5000 0.5000
Ir1 Ir 0.5000 0.5000 0.5000
# E_form = -0.22 eV per atom
# Crystal system = tetragonal

No. 4
# PBE-GGA TlFe2Se2, relaxed
data_TlFe2Se2
_cell_length_a 4.9202
_cell_length_b 4.9202
_cell_length_c 8.4433
_cell_angle_alpha 90.00
_cell_angle_beta 90.00
_cell_angle_gamma 90.00
_space_group_name_H-M_alt 'I 4/m m m'
_space_group_IT_number 139
_space_group_name_Hall '-I 4 2'
loop_
_atom_site_label
_atom_site_type_symbol
_atom_site_fract_x
_atom_site_fract_y
_atom_site_fract_z
Tl1 Tl 0.0000 0.0000 0.0000
Fe1 Fe 0.0000 0.0000 0.3610
Se1 Se 0.0000 0.5000 0.2500
# Formation energy (no corrections) = 154.5 meV/atom
# Energy relative to the lowest polymorph listed for this composition = 381 meV per atom
# Crystal system = tetragonal

No. 5
# PBE-GGA La5Nd4Zn, relaxed
data_La5Nd4Zn
_cell_length_a 3.7460
_cell_length_b 3.7460
_cell_length_c 24.5492
_cell_angle_alpha 90.00
_cell_angle_beta 90.00
_cell_angle_gamma 90.00
_space_group_name_H-M_alt 'P 4/m m m'
_space_group_IT_number 123
_space_group_name_Hall '-P 4 2'
loop_
_atom_site_label
_atom_site_type_symbol
_atom_site_fract_x
_atom_site_fract_y
_atom_site_fract_z
La1 La 0.0000 0.0000 0.0000
La2 La 0.0000 0.0000 0.2118
La3 La 0.0000 0.0000 0.4245
Nd1 Nd 0.5000 0.5000 0.1054
Nd2 Nd 0.5000 0.5000 0.3157
Zn1 Zn 0.5000 0.5000 0.5000
# E_form = -0.05 eV per atom
# Crystal system = tetragonal

No. 6
# PBE-GGA VZn2Ni, relaxed
data_VZn2Ni
_cell_length_a 2.6215
_cell_length_b 2.6215
_cell_length_c 28.0430
_cell_angle_alpha 90.00
_cell_angle_beta 90.00
_cell_angle_gamma 120.00
_space_group_name_H-M_alt 'R -3 m'
_space_group_IT_number 166
_space_group_name_Hall '-R 3 2"'
loop_
_atom_site_label
_atom_site_type_symbol
_atom_site_fract_x
_atom_site_fract_y
_atom_site_fract_z
V1 V 0.0000 0.0000 0.0000
Zn1 Zn 0.0000 0.0000 0.0941
Ni1 Ni 0.0000 0.0000 0.5000
# E_form = 0.25 eV per atom
# Crystal system = trigonal

No. 7
# PBE-GGA Pm5Nd4Al, relaxed
data_Pm5Nd4Al
_cell_length_a 4.2214
_cell_length_b 4.2214
_cell_length_c 18.3177
_cell_angle_alpha 90.00
_cell_angle_beta 90.00
_cell_angle_gamma 90.00
_space_group_name_H-M_alt 'P 4/m m m'
_space_group_IT_number 123
_space_group_name_Hall '-P 4 2'
loop_
_atom_site_label
_atom_site_type_symbol
_atom_site_fract_x
_atom_site_fract_y
_atom_site_fract_z
Pm1 Pm 0.0000 0.0000 0.0000
Pm2 Pm 0.0000 0.0000 0.2087
Pm3 Pm 0.0000 0.0000 0.4155
Nd1 Nd 0.5000 0.5000 0.1027
Nd2 Nd 0.5000 0.5000 0.3077
Al1 Al 0.5000 0.5000 0.5000
# E_form = 0.04 eV per atom
# Energy relative to the lowest polymorph listed for this composition = 0 meV per atom
# Crystal system = tetragonal

No. 8
# PBE-GGA LaTm12Co6, relaxed
data_LaTm12Co6
_cell_length_a 9.6665
_cell_length_b 9.6665
_cell_length_c 9.6665
_cell_angle_alpha 90.00
_cell_angle_beta 90.00
_cell_angle_gamma 90.00
_space_group_name_H-M_alt 'I m -3'
_space_group_IT_number 204
_space_group_name_Hall '-I 2 2 3'
loop_
_atom_site_label
_atom_site_type_symbol
_atom_site_fract_x
_atom_site_fract_y
_atom_site_fract_z
La1 La 0.0000 0.0000 0.0000
Tm1 Tm 0.0000 0.3097 0.1939
Co1 Co 0.0000 0.1138 0.5000
# E_form = -0.16 eV per atom
# Crystal system = cubic

Number 1: total magnetic moment 0.00 μB per formula unit. Number 2: total magnetic moment 0.00 μB per formula unit. Number 3: total magnetic moment 0.00 μB per formula unit. Number 4: total magnetic moment 6.29 μB per formula unit. Number 5: total magnetic moment 0.00 μB per formula unit. Number 6: total magnetic moment 1.21 μB per formula unit. Number 7: total magnetic moment 0.00 μB per formula unit. Number 8: total magnetic moment 0.00 μB per formula unit.